The following is a DFT calculation (PBE) of crystalline H4S2I at its relaxed geometry.

The magnetic moment is 0.03 μB/atom. As for the total energy: -3.397 eV per atom.

The structure belongs to space group Cc (No. 9); the cell edges are 7.9053, 20.0106 and 5.3166 Å and the angles 90.00°, 132.23° and 90.00°. The inequivalent atoms are H at (0.0000, 0.0425, 0.0000), H at (0.1849, 0.2884, 0.4988), H at (0.1848, 0.2884, 0.8678), H at (0.3535, 0.0425, 0.3534), S at (0.1769, 0.0053, 0.6770), S at (0.1863, 0.2400, 0.6847) and I at (0.1774, 0.3847, 0.1756).